(1)
Below is crystalline Sr4Zn3Ir at its relaxed geometry, with properties calculated at the PBE-GGA level.

Summary:
- ΔH_f (0 K): -0.25 eV/atom

a = 4.522 Å, b = 4.534 Å, c = 11.710 Å
α = 90.00°, β = 90.00°, γ = 90.00°
Space group Pmm2 (No. 25)
One atom of each set of equivalent atoms:
1 Sr 0.000 0.000 0.000 (multiplicity 1)
2 Sr 0.000 0.500 0.461 (multiplicity 1)
3 Sr 0.500 0.000 0.692 (multiplicity 1)
4 Sr 0.500 0.500 0.198 (multiplicity 1)
5 Zn 0.000 0.500 0.782 (multiplicity 1)
6 Zn 0.500 0.000 0.385 (multiplicity 1)
7 Zn 0.500 0.500 0.896 (multiplicity 1)
8 Ir 0.000 0.000 0.281 (multiplicity 1)

(2)
Below is crystalline Co2Ni4Mo at its relaxed geometry, with properties calculated at the PBE-GGA level.

Summary:
- ΔH_f (0 K): 0.15 eV/atom

a = 4.619 Å, b = 8.395 Å, c = 8.423 Å
α = 90.00°, β = 90.00°, γ = 90.00°
Space group Fmmm (No. 69)
One atom of each set of equivalent atoms:
1 Co 0.000 0.000 0.203 (multiplicity 8)
2 Ni 0.000 0.192 0.000 (multiplicity 8)
3 Ni 0.250 0.250 0.250 (multiplicity 8)
4 Mo 0.000 0.000 0.500 (multiplicity 4)

(3)
Below is crystalline Pm12Pr7Th at its relaxed geometry, with properties calculated at the PBE-GGA level.

Summary:
- ΔH_f (0 K): 0.22 eV/atom

a = 12.6926 Å, b = 12.6926 Å, c = 15.2008 Å
α = 90.00°, β = 90.00°, γ = 120.00°
Space group R-3 (No. 148, hexagonal axes)
One atom of each set of equivalent atoms:
1 Pm 0.0260 0.5845 0.2196 (multiplicity 18)
2 Pm 0.0691 0.2436 0.9010 (multiplicity 18)
3 Pr 0.0000 0.0000 0.0000 (multiplicity 3)
4 Pr 0.0635 0.8753 0.3088 (multiplicity 18)
5 Th 0.0000 0.0000 0.5000 (multiplicity 3)

(4)
Below is crystalline TcBr at its relaxed geometry, with properties calculated at the PBE-GGA level.

Summary:
- Distance to the lowest polymorph of the same formula: 1.302 eV/atom
- Energy relative to the elements, uncorrected: 1.345 eV per atom

a = 5.3360 Å, b = 5.3360 Å, c = 7.3815 Å
α = 90.00°, β = 90.00°, γ = 120.00°
Space group P6_3/mmc (No. 194)
One atom of each set of equivalent atoms:
1 Tc 0.3333 0.6667 0.1036 (multiplicity 4)
2 Br 0.0000 0.0000 0.2500 (multiplicity 2)
3 Br 0.3333 0.6667 0.7500 (multiplicity 2)

(5)
Below is crystalline K12Rb6Bi at its relaxed geometry, with properties calculated at the PBE-GGA level.

Summary:
- ΔH_f (0 K): -0.01 eV/atom

a = 15.5978 Å, b = 15.5978 Å, c = 21.4570 Å
α = 90.00°, β = 90.00°, γ = 120.00°
Space group R-3 (No. 148, hexagonal axes)
One atom of each set of equivalent atoms:
1 K 0.0072 0.5044 0.3836 (multiplicity 18)
2 K 0.0964 0.9017 0.3956 (multiplicity 18)
3 Rb 0.1067 0.2138 0.1519 (multiplicity 18)
4 Bi 0.0000 0.0000 0.5000 (multiplicity 3)

(6)
Below is crystalline Te2HPtS at its relaxed geometry, with properties calculated at the PBE-GGA level.

a = 5.440 Å, b = 5.440 Å, c = 4.430 Å
α = 90.00°, β = 90.00°, γ = 90.00°
Space group P4/mmm (No. 123)
One atom of each set of equivalent atoms:
1 Te 0.000 0.500 0.000 (multiplicity 2)
2 H 0.000 0.000 0.500 (multiplicity 1)
3 Pt 0.500 0.500 0.500 (multiplicity 1)
4 S 0.500 0.500 0.000 (multiplicity 1)

(7)
Below is crystalline Pm8Te4As3Ir at its relaxed geometry, with properties calculated at the PBE-GGA level.

Summary:
- Energy relative to the elements, uncorrected: -1.397 eV per atom

a = 8.6345 Å, b = 8.6345 Å, c = 21.7781 Å
α = 90.00°, β = 90.00°, γ = 120.00°
Space group R-3m (No. 166, hexagonal axes)
One atom of each set of equivalent atoms:
1 Pm 0.0000 0.0000 0.2406 (multiplicity 6)
2 Pm 0.0099 0.5049 0.2390 (multiplicity 18)
3 Te 0.0000 0.0000 0.0000 (multiplicity 3)
4 Te 0.0000 0.5000 0.0000 (multiplicity 9)
5 As 0.0000 0.5000 0.5000 (multiplicity 9)
6 Ir 0.0000 0.0000 0.5000 (multiplicity 3)

(8)
Below is crystalline Tb3Hg at its relaxed geometry, with properties calculated at the PBE-GGA level.

Summary:
- ΔH_f (0 K): -0.05 eV/atom

a = 7.658 Å, b = 7.658 Å, c = 7.658 Å
α = 90.00°, β = 90.00°, γ = 90.00°
Space group Fm-3m (No. 225)
One atom of each set of equivalent atoms:
1 Tb 0.000 0.000 0.000 (multiplicity 4)
2 Tb 0.250 0.250 0.250 (multiplicity 8)
3 Hg 0.000 0.000 0.500 (multiplicity 4)

(9)
Below is crystalline DyTl2Bi at its relaxed geometry, with properties calculated at the PBE-GGA level.

Summary:
- ΔH_f (0 K): -0.29 eV/atom

a = 4.838 Å, b = 4.838 Å, c = 4.861 Å
α = 90.00°, β = 90.00°, γ = 90.00°
Space group P4/mmm (No. 123)
One atom of each set of equivalent atoms:
1 Dy 0.000 0.000 0.000 (multiplicity 1)
2 Tl 0.000 0.500 0.500 (multiplicity 2)
3 Bi 0.500 0.500 0.000 (multiplicity 1)

(10)
Below is crystalline MoRh2 at its relaxed geometry, with properties calculated at the PBE-GGA level.

Summary:
- ΔH_f (0 K): 0.49 eV/atom

a = 3.961 Å, b = 3.961 Å, c = 3.303 Å
α = 90.00°, β = 90.00°, γ = 90.00°
Space group P4/mmm (No. 123)
One atom of each set of equivalent atoms:
1 Mo 0.000 0.000 0.000 (multiplicity 1)
2 Rh 0.000 0.500 0.500 (multiplicity 2)

(11)
Below is crystalline Ba2CuPb at its relaxed geometry, with properties calculated at the PBE-GGA level.

Summary:
- ΔH_f (0 K): -0.08 eV/atom

a = 8.696 Å, b = 4.317 Å, c = 9.047 Å
α = 90.00°, β = 103.81°, γ = 90.00°
Space group C2/m (No. 12)
One atom of each set of equivalent atoms:
1 Ba 0.242 0.000 0.231 (multiplicity 4)
2 Cu 0.000 0.500 0.000 (multiplicity 2)
3 Pb 0.000 0.000 0.500 (multiplicity 2)

(12)
Below is crystalline Tm2ReB6 at its relaxed geometry, with properties calculated at the PBE-GGA level.

Summary:
- Distance to the lowest polymorph of the same formula: 0.000 eV/atom
- ΔH_f (0 K): -0.68 eV/atom

a = 9.109 Å, b = 11.476 Å, c = 3.640 Å
α = 90.00°, β = 90.00°, γ = 90.00°
Space group Pbam (No. 55)
One atom of each set of equivalent atoms:
1 Tm 0.057 0.130 0.000 (multiplicity 4)
2 Tm 0.177 0.414 0.000 (multiplicity 4)
3 Re 0.138 0.679 0.000 (multiplicity 4)
4 B 0.019 0.288 0.500 (multiplicity 4)
5 B 0.053 0.567 0.500 (multiplicity 4)
6 B 0.100 0.972 0.500 (multiplicity 4)
7 B 0.130 0.815 0.500 (multiplicity 4)
8 B 0.208 0.235 0.500 (multiplicity 4)
9 B 0.250 0.081 0.500 (multiplicity 4)

Number 1: uncorrected energy -2.67 eV/atom, calculated volume 240.1 Å³/cell. Number 2: uncorrected energy -6.73 eV/atom, calculated volume 326.6 Å³/cell. Number 3: uncorrected energy -4.67 eV/atom, calculated volume 2120.8 Å³/cell. Number 4: uncorrected energy -4.67 eV/atom, calculated volume 182.0 Å³/cell. Number 5: uncorrected energy -1.21 eV/atom, calculated volume 4520.9 Å³/cell. Number 6: uncorrected energy -2.95 eV/atom, calculated volume 131.1 Å³/cell. Number 7: uncorrected energy -5.98 eV/atom, calculated volume 1406.2 Å³/cell. Number 8: uncorrected energy -3.60 eV/atom, calculated volume 449.2 Å³/cell. Number 9: uncorrected energy -3.60 eV/atom, calculated volume 113.8 Å³/cell. Number 10: uncorrected energy -8.02 eV/atom, calculated volume 51.8 Å³/cell. Number 11: uncorrected energy -2.99 eV/atom, calculated volume 329.9 Å³/cell. Number 12: uncorrected energy -7.51 eV/atom, calculated volume 380.5 Å³/cell.